1.
# PBE Sr4Al, optimized geometry
data_Sr4Al
_chemical_formula_sum 'Sr8 Al2'
_cell_length_a 4.763
_cell_length_b 4.763
_cell_length_c 21.035
_cell_angle_alpha 90.00
_cell_angle_beta 90.00
_cell_angle_gamma 90.00
_symmetry_space_group_name_H-M 'I 4/m m m'
_symmetry_Int_Tables_number 139
_symmetry_space_group_name_Hall '-I 4 2'
loop_
_atom_site_label
_atom_site_type_symbol
_atom_site_fract_x
_atom_site_fract_y
_atom_site_fract_z
Sr1 Sr 0.000 0.000 0.085
Sr2 Sr 0.000 0.500 0.250
Al1 Al 0.000 0.000 0.500
# Formation energy: 0.3969 eV per atom
# Density: 2627 kg/m³

=====

2.
# PBE AcHg3Pb, optimized geometry
data_AcHg3Pb
_chemical_formula_sum 'Ac4 Hg12 Pb4'
_cell_length_a 4.991
_cell_length_b 23.186
_cell_length_c 5.029
_cell_angle_alpha 90.00
_cell_angle_beta 90.00
_cell_angle_gamma 90.00
_symmetry_space_group_name_H-M 'C m c 21'
_symmetry_Int_Tables_number 36
loop_
_symmetry_equiv_pos_as_xyz
'x,y,z'
'-x,-y,z+1/2'
'-x,y,z'
'x,-y,z+1/2'
'x+1/2,y+1/2,z'
'-x+1/2,-y+1/2,z+1/2'
'-x+1/2,y+1/2,z'
'x+1/2,-y+1/2,z+1/2'
loop_
_atom_site_label
_atom_site_type_symbol
_atom_site_fract_x
_atom_site_fract_y
_atom_site_fract_z
Ac1 Ac 0.000 0.147 0.000
Hg1 Hg 0.000 0.043 0.544
Hg2 Hg 0.000 0.250 0.517
Hg3 Hg 0.000 0.455 0.568
Pb1 Pb 0.000 0.345 0.006
# Formation energy: -0.3387 eV per atom
# Density: 11825 kg/m³

=====

3.
# PBE SrCl2F8, optimized geometry
data_SrCl2F8
_chemical_formula_sum 'Sr2 Cl4 F16'
_cell_length_a 5.869
_cell_length_b 5.869
_cell_length_c 10.663
_cell_angle_alpha 90.00
_cell_angle_beta 90.00
_cell_angle_gamma 90.00
_symmetry_space_group_name_H-M 'I 4 2 2'
_symmetry_Int_Tables_number 97
_symmetry_space_group_name_Hall 'I 4 2'
loop_
_atom_site_label
_atom_site_type_symbol
_atom_site_fract_x
_atom_site_fract_y
_atom_site_fract_z
Sr1 Sr 0.000 0.000 0.000
Cl1 Cl 0.000 0.500 0.250
F1 F 0.151 0.338 0.872
# E_tot: -3.383 eV/atom
# Density: 2808 kg/m³

=====

4.
# PBE YMg3Sc2, optimized geometry
data_YMg3Sc2
_chemical_formula_sum 'Y1 Mg3 Sc2'
_cell_length_a 3.663
_cell_length_b 3.663
_cell_length_c 11.021
_cell_angle_alpha 90.00
_cell_angle_beta 90.00
_cell_angle_gamma 90.00
_symmetry_space_group_name_H-M 'P 4/m m m'
_symmetry_Int_Tables_number 123
_symmetry_space_group_name_Hall '-P 4 2'
loop_
_atom_site_label
_atom_site_type_symbol
_atom_site_fract_x
_atom_site_fract_y
_atom_site_fract_z
Y1 Y 0.000 0.000 0.000
Mg1 Mg 0.500 0.500 0.183
Mg2 Mg 0.500 0.500 0.500
Sc1 Sc 0.000 0.000 0.340
# Formation energy: -0.0574 eV per atom
# Density: 2827 kg/m³

=====

5.
# PBE Be3FeRe, optimized geometry
data_Be3FeRe
_chemical_formula_sum 'Be3 Fe1 Re1'
_cell_length_a 3.777
_cell_length_b 3.777
_cell_length_c 3.777
_cell_angle_alpha 90.00
_cell_angle_beta 90.00
_cell_angle_gamma 90.00
_symmetry_space_group_name_H-M 'P m -3 m'
_symmetry_Int_Tables_number 221
_symmetry_space_group_name_Hall '-P 4 2 3'
loop_
_atom_site_label
_atom_site_type_symbol
_atom_site_fract_x
_atom_site_fract_y
_atom_site_fract_z
Be1 Be 0.000 0.000 0.500
Fe1 Fe 0.000 0.000 0.000
Re1 Re 0.500 0.500 0.500
# Formation energy: 0.8401 eV per atom
# Density: 8295 kg/m³

=====

6.
# PBE BeBPdAu, optimized geometry
data_BeBPdAu
_chemical_formula_sum 'Be2 B2 Pd2 Au2'
_cell_length_a 7.778
_cell_length_b 2.979
_cell_length_c 4.421
_cell_angle_alpha 90.00
_cell_angle_beta 101.21
_cell_angle_gamma 90.00
_symmetry_space_group_name_H-M 'C 1 m 1'
_symmetry_Int_Tables_number 8
loop_
_symmetry_equiv_pos_as_xyz
'x,y,z'
'x,-y,z'
'x+1/2,y+1/2,z'
'x+1/2,-y+1/2,z'
loop_
_atom_site_label
_atom_site_type_symbol
_atom_site_fract_x
_atom_site_fract_y
_atom_site_fract_z
Be1 Be 0.000 0.000 0.000
B1 B 0.136 0.500 0.252
Pd1 Pd 0.356 0.000 0.318
Au1 Au 0.194 0.500 0.756
# Formation energy: 0.0740 eV per atom
# Density: 10684 kg/m³